(1)
Entry from Alexandria: an optimized crystal structure of Ce2MnPN5 (PBE).

Geometry as extended XYZ:
```
18
Lattice="1.560 -6.860 0.000 1.560 6.860 0.000 0.000 0.000 10.035" Properties=species:S:1:pos:R:3 pbc="T T T"
Ce 1.560 5.237 5.018
Ce 1.560 4.885 1.409
Ce 1.560 -4.885 6.427
Ce 1.560 -5.237 0.000
Mn 1.560 3.950 8.644
Mn 1.560 -3.950 3.627
P 1.560 0.853 2.642
P 1.560 -0.853 7.659
N 1.560 6.152 8.558
N 1.560 2.893 4.873
N 1.560 2.462 2.237
N 1.560 2.059 8.333
N 1.560 0.001 1.269
N 1.560 -0.001 6.287
N 1.560 -2.059 3.315
N 1.560 -2.462 7.255
N 1.560 -2.893 9.891
N 1.560 -6.152 3.540
```

Summary:
E_form (uncorrected) in eV/atom: -0.844
Spin magnetization in μB per formula unit: 1.2
Fermi-level density of states in states/eV/f.u.: 5.3
Mass density in g cm⁻³: 6.745

=====

(2)
Entry from Alexandria: an optimized crystal structure of CeMn2PN (PBE).

Geometry as extended XYZ:
```
10
Lattice="1.791 -5.357 0.000 1.791 5.357 0.000 0.000 0.000 6.957" Properties=species:S:1:pos:R:3 pbc="T T T"
Ce 1.791 4.921 5.218
Ce 1.791 -4.921 1.739
Mn 1.791 1.847 3.869
Mn 1.791 1.847 6.567
Mn 1.791 -1.847 0.390
Mn 1.791 -1.847 3.088
P 1.791 2.850 1.739
P 1.791 -2.850 5.218
N 1.791 0.000 0.000
N 1.791 0.000 3.478
```

Summary:
E_form (uncorrected) in eV/atom: -0.981
Spin magnetization in μB per formula unit: 3.0
Fermi-level density of states in states/eV/f.u.: 5.8
Mass density in g cm⁻³: 7.340

=====

(3)
Entry from Alexandria: an optimized crystal structure of Ce2PaMnN5 (PBE).

Geometry as extended XYZ:
```
18
Lattice="6.402 0.000 0.000 0.000 6.402 0.000 0.000 0.000 5.698" Properties=species:S:1:pos:R:3 pbc="T T T"
Ce 1.047 2.155 0.000
Ce 2.155 5.356 0.000
Ce 4.248 1.047 0.000
Ce 5.356 4.248 0.000
Pa 0.000 0.000 2.849
Pa 3.201 3.201 2.849
Mn 0.000 3.201 2.849
Mn 3.201 0.000 2.849
N 0.000 0.000 0.000
N 1.008 4.209 1.600
N 1.008 4.209 4.098
N 2.193 1.008 1.600
N 2.193 1.008 4.098
N 3.201 3.201 0.000
N 4.209 5.394 1.600
N 4.209 5.394 4.098
N 5.394 2.193 1.600
N 5.394 2.193 4.098
```

Summary:
E_form (uncorrected) in eV/atom: -1.041
Spin magnetization in μB per formula unit: 2.9
Fermi-level density of states in states/eV/f.u.: 0.8
Mass density in g cm⁻³: 9.047

=====

(4)
Entry from Alexandria: an optimized crystal structure of CePmMnN4 (PBE).

Geometry as extended XYZ:
```
14
Lattice="2.600 -6.337 0.000 2.600 6.337 0.000 0.000 0.000 5.199" Properties=species:S:1:pos:R:3 pbc="T T T"
Ce 2.600 5.001 3.899
Ce 2.600 -5.001 1.300
Pm 2.600 1.324 3.899
Pm 2.600 -1.324 1.300
Mn 2.600 3.024 1.300
Mn 2.600 -3.024 3.899
N 1.300 3.168 0.000
N 1.300 3.168 2.599
N 2.600 5.453 1.300
N 2.600 1.066 1.300
N 1.300 -3.168 0.000
N 1.300 -3.168 2.599
N 2.600 -1.066 3.899
N 2.600 -5.453 3.899
```

Summary:
E_form (uncorrected) in eV/atom: -0.920
Spin magnetization in μB per formula unit: 0.0
Fermi-level density of states in states/eV/f.u.: 4.2
Mass density in g cm⁻³: 7.678

=====

(5)
Entry from Alexandria: an optimized crystal structure of CePr2MnN5 (PBE).

Geometry as extended XYZ:
```
18
Lattice="-3.388 3.388 5.523 3.388 -3.388 5.523 3.388 3.388 -5.523" Properties=species:S:1:pos:R:3 pbc="T T T"
Ce 0.000 0.000 2.761
Ce 0.000 0.000 8.284
Pr 4.555 1.167 0.000
Pr 1.167 2.222 0.000
Pr 2.222 1.167 5.523
Pr -1.167 2.222 5.523
Mn 3.388 0.000 2.761
Mn 0.000 3.388 2.761
N 0.000 0.000 0.000
N 4.364 -0.976 1.707
N 2.413 -0.976 3.816
N 2.413 0.976 1.707
N 4.364 0.976 3.816
N 0.000 0.000 5.523
N -0.976 2.413 1.707
N 0.976 2.413 3.816
N 0.976 4.364 1.707
N -0.976 4.364 3.816
```

Summary:
E_form (uncorrected) in eV/atom: -0.989
Spin magnetization in μB per formula unit: 1.4
Fermi-level density of states in states/eV/f.u.: 5.7
Mass density in g cm⁻³: 7.161

=====

(6)
Entry from Alexandria: an optimized crystal structure of CePr2MnN4 (PBE).

Geometry as extended XYZ:
```
16
Lattice="1.745 -5.852 0.000 1.745 5.852 0.000 0.000 0.000 12.299" Properties=species:S:1:pos:R:3 pbc="T T T"
Ce 1.745 4.639 9.224
Ce 1.745 -4.639 3.075
Pr 1.745 1.546 6.734
Pr 1.745 1.546 11.715
Pr 1.745 -1.546 0.584
Pr 1.745 -1.546 5.565
Mn 1.745 3.887 3.075
Mn 1.745 -3.887 9.224
N 0.000 0.000 0.000
N 0.000 0.000 6.149
N 1.745 2.585 1.717
N 1.745 2.585 4.433
N 1.745 0.833 9.224
N 1.745 -0.833 3.075
N 1.745 -2.585 7.866
N 1.745 -2.585 10.582
```

Summary:
E_form (uncorrected) in eV/atom: -0.962
Spin magnetization in μB per formula unit: 4.0
Fermi-level density of states in states/eV/f.u.: 4.9
Mass density in g cm⁻³: 7.045

=====

(7)
Entry from Alexandria: an optimized crystal structure of Ce2PrMnN5 (PBE).

Geometry as extended XYZ:
```
18
Lattice="-3.312 3.312 5.592 3.312 -3.312 5.592 3.312 3.312 -5.592" Properties=species:S:1:pos:R:3 pbc="T T T"
Ce 4.470 1.158 0.000
Ce 1.158 2.154 0.000
Ce 2.154 1.158 5.592
Ce -1.158 2.154 5.592
Pr 0.000 0.000 2.796
Pr 0.000 0.000 8.387
Mn 3.312 0.000 2.796
Mn 0.000 3.312 2.796
N 0.000 0.000 0.000
N 4.263 -0.951 1.620
N 2.361 -0.951 3.972
N 2.361 0.951 1.620
N 4.263 0.951 3.972
N 0.000 0.000 5.592
N -0.951 2.361 1.620
N 0.951 2.361 3.972
N 0.951 4.263 1.620
N -0.951 4.263 3.972
```

Summary:
E_form (uncorrected) in eV/atom: -1.154
Spin magnetization in μB per formula unit: 2.3
Fermi-level density of states in states/eV/f.u.: 3.2
Mass density in g cm⁻³: 7.393

=====

(8)
Entry from Alexandria: an optimized crystal structure of Ce2PrMnN4 (PBE).

Geometry as extended XYZ:
```
16
Lattice="1.746 -5.866 0.000 1.746 5.866 0.000 0.000 0.000 11.800" Properties=species:S:1:pos:R:3 pbc="T T T"
Ce 1.746 4.321 6.505
Ce 1.746 4.321 11.195
Ce 1.746 -4.321 0.605
Ce 1.746 -4.321 5.295
Pr 1.746 1.204 8.850
Pr 1.746 -1.204 2.950
Mn 1.746 1.907 2.950
Mn 1.746 -1.907 8.850
N 1.746 5.065 8.850
N 1.746 3.141 1.474
N 1.746 3.141 4.426
N 1.746 0.000 0.000
N 1.746 0.000 5.900
N 1.746 -3.141 7.374
N 1.746 -3.141 10.326
N 1.746 -5.065 2.950
```

Summary:
E_form (uncorrected) in eV/atom: -1.131
Spin magnetization in μB per formula unit: 3.4
Fermi-level density of states in states/eV/f.u.: 5.0
Mass density in g cm⁻³: 7.310

=====

(9)
Entry from Alexandria: an optimized crystal structure of CePrMnN3 (PBE).

Geometry as extended XYZ:
```
12
Lattice="7.358 0.000 0.000 0.000 3.497 0.000 -0.879 0.000 7.444" Properties=species:S:1:pos:R:3 pbc="T T T"
Ce 0.863 0.874 1.315
Ce 5.616 2.623 6.129
Pr 1.785 2.623 6.148
Pr 4.694 0.874 1.296
Mn 2.760 2.623 3.028
Mn 3.719 0.874 4.416
N -0.061 0.874 6.445
N 2.119 0.874 3.497
N 2.628 2.623 1.143
N 3.851 0.874 6.301
N 4.360 2.623 3.947
N 6.540 2.623 0.999
```

Summary:
E_form (uncorrected) in eV/atom: -1.023
Spin magnetization in μB per formula unit: 1.1
Fermi-level density of states in states/eV/f.u.: 2.7
Mass density in g cm⁻³: 6.553

=====

(10)
Entry from Alexandria: an optimized crystal structure of CePu2MnN4 (PBE).

Geometry as extended XYZ:
```
16
Lattice="1.681 -5.689 0.000 1.681 5.689 0.000 0.000 0.000 11.509" Properties=species:S:1:pos:R:3 pbc="T T T"
Ce 1.681 4.495 8.632
Ce 1.681 -4.495 2.877
Pu 1.681 1.495 6.366
Pu 1.681 1.495 10.897
Pu 1.681 -1.495 0.612
Pu 1.681 -1.495 5.143
Mn 1.681 3.896 2.877
Mn 1.681 -3.896 8.632
N 0.000 0.000 0.000
N 0.000 0.000 5.754
N 1.681 2.623 1.392
N 1.681 2.623 4.362
N 1.681 0.632 8.632
N 1.681 -0.632 2.877
N 1.681 -2.623 7.146
N 1.681 -2.623 10.117
```

Summary:
E_form (uncorrected) in eV/atom: -1.102
Spin magnetization in μB per formula unit: 5.9
Fermi-level density of states in states/eV/f.u.: 11.2
Mass density in g cm⁻³: 11.150

=====

(11)
Entry from Alexandria: an optimized crystal structure of CePuMnN4 (PBE).

Geometry as extended XYZ:
```
14
Lattice="2.619 -6.118 0.000 2.619 6.118 0.000 0.000 0.000 5.202" Properties=species:S:1:pos:R:3 pbc="T T T"
Ce 2.619 4.784 3.902
Ce 2.619 -4.784 1.301
Pu 2.619 1.317 3.902
Pu 2.619 -1.317 1.301
Mn 2.619 3.219 1.301
Mn 2.619 -3.219 3.902
N 1.310 3.059 0.000
N 1.310 3.059 2.601
N 2.619 5.149 1.301
N 2.619 0.816 1.301
N 1.310 -3.059 0.000
N 1.310 -3.059 2.601
N 2.619 -0.816 3.902
N 2.619 -5.149 3.902
```

Summary:
E_form (uncorrected) in eV/atom: -0.927
Spin magnetization in μB per formula unit: 5.3
Fermi-level density of states in states/eV/f.u.: 9.0
Mass density in g cm⁻³: 9.862

=====

(12)
Entry from Alexandria: an optimized crystal structure of RbCeMnN3 (PBE).

Geometry as extended XYZ:
```
12
Lattice="6.707 -1.862 0.000 6.707 1.862 0.000 -2.053 0.000 7.853" Properties=species:S:1:pos:R:3 pbc="T T T"
Rb 1.743 0.000 0.509
Rb 9.619 0.000 7.343
Ce 0.876 0.000 4.552
Ce 10.486 0.000 3.301
Mn 5.212 0.000 5.344
Mn 6.150 0.000 2.509
N -0.553 0.000 2.575
N 3.317 0.000 4.777
N 4.356 0.000 1.933
N 7.007 0.000 5.920
N 8.045 0.000 3.075
N 11.915 0.000 5.278
```

Summary:
E_form (uncorrected) in eV/atom: -0.525
Spin magnetization in μB per formula unit: 2.0
Fermi-level density of states in states/eV/f.u.: 2.5
Mass density in g cm⁻³: 5.461

=====

(13)
Entry from Alexandria: an optimized crystal structure of CeMn2SiN (PBE).

Geometry as extended XYZ:
```
10
Lattice="1.811 -5.415 0.000 1.811 5.415 0.000 0.000 0.000 7.075" Properties=species:S:1:pos:R:3 pbc="T T T"
Ce 1.811 4.943 5.306
Ce 1.811 -4.943 1.769
Mn 1.811 1.814 3.929
Mn 1.811 1.814 6.684
Mn 1.811 -1.814 0.392
Mn 1.811 -1.814 3.146
Si 1.811 2.892 1.769
Si 1.811 -2.892 5.306
N 1.811 0.000 0.000
N 1.811 0.000 3.538
```

Summary:
E_form (uncorrected) in eV/atom: -0.794
Spin magnetization in μB per formula unit: 2.8
Fermi-level density of states in states/eV/f.u.: 5.2
Mass density in g cm⁻³: 6.991

=====

(14)
Entry from Alexandria: an optimized crystal structure of Ce2Mn2Si2N (PBE).

Geometry as extended XYZ:
```
14
Lattice="10.667 0.000 0.000 0.000 3.976 0.000 -4.416 0.000 5.351" Properties=species:S:1:pos:R:3 pbc="T T T"
Ce -0.826 0.000 1.755
Ce 1.744 1.988 3.597
Ce 4.508 1.988 1.755
Ce 7.077 0.000 3.597
Mn -1.461 1.988 4.307
Mn 2.378 0.000 1.044
Mn 3.873 0.000 4.307
Mn 7.712 1.988 1.044
Si 1.247 1.988 0.574
Si -0.329 0.000 4.777
Si 6.580 0.000 0.574
Si 5.005 1.988 4.777
N -2.208 1.988 2.676
N 3.126 0.000 2.676
```

Summary:
E_form (uncorrected) in eV/atom: -0.793
Spin magnetization in μB per formula unit: 0.8
Fermi-level density of states in states/eV/f.u.: 9.3
Mass density in g cm⁻³: 6.735

=====

(15)
Entry from Alexandria: an optimized crystal structure of Ce2SmMnN5 (PBE).

Geometry as extended XYZ:
```
18
Lattice="6.556 0.000 0.000 0.000 6.556 0.000 0.000 0.000 5.647" Properties=species:S:1:pos:R:3 pbc="T T T"
Ce 1.108 2.170 0.000
Ce 2.170 5.448 0.000
Ce 4.386 1.108 0.000
Ce 5.448 4.386 0.000
Sm 0.000 0.000 2.824
Sm 3.278 3.278 2.824
Mn 0.000 3.278 2.824
Mn 3.278 0.000 2.824
N 0.000 0.000 0.000
N 0.940 4.218 1.542
N 0.940 4.218 4.106
N 2.338 0.940 1.542
N 2.338 0.940 4.106
N 3.278 3.278 0.000
N 4.218 5.616 1.542
N 4.218 5.616 4.106
N 5.616 2.338 1.542
N 5.616 2.338 4.106
```

Summary:
E_form (uncorrected) in eV/atom: -0.940
Spin magnetization in μB per formula unit: 1.0
Fermi-level density of states in states/eV/f.u.: 5.0
Mass density in g cm⁻³: 7.601

=====

(16)
Entry from Alexandria: an optimized crystal structure of CeSmMnN4 (PBE).

Geometry as extended XYZ:
```
14
Lattice="3.677 0.000 0.000 0.000 3.677 0.000 0.000 0.000 12.546" Properties=species:S:1:pos:R:3 pbc="T T T"
Ce 0.000 0.000 0.000
Ce 1.839 1.839 6.273
Sm 0.000 0.000 3.652
Sm 1.839 1.839 9.925
Mn 0.000 0.000 8.035
Mn 1.839 1.839 1.762
N 0.000 0.000 5.999
N 0.000 0.000 10.319
N 0.000 1.839 1.790
N 0.000 1.839 8.063
N 1.839 0.000 1.790
N 1.839 0.000 8.063
N 1.839 1.839 4.045
N 1.839 1.839 12.273
```

Summary:
E_form (uncorrected) in eV/atom: -0.928
Spin magnetization in μB per formula unit: 0.0
Fermi-level density of states in states/eV/f.u.: 4.4
Mass density in g cm⁻³: 7.859

=====

(17)
Entry from Alexandria: an optimized crystal structure of Ce2SmMnN4 (PBE).

Geometry as extended XYZ:
```
16
Lattice="1.726 -5.812 0.000 1.726 5.812 0.000 0.000 0.000 11.789" Properties=species:S:1:pos:R:3 pbc="T T T"
Ce 1.726 4.282 6.505
Ce 1.726 4.282 11.179
Ce 1.726 -4.282 0.610
Ce 1.726 -4.282 5.284
Sm 1.726 1.235 8.842
Sm 1.726 -1.235 2.947
Mn 1.726 1.861 2.947
Mn 1.726 -1.861 8.842
N 1.726 5.085 8.842
N 1.726 3.141 1.503
N 1.726 3.141 4.391
N 1.726 0.000 0.000
N 1.726 0.000 5.894
N 1.726 -3.141 7.397
N 1.726 -3.141 10.286
N 1.726 -5.085 2.947
```

Summary:
E_form (uncorrected) in eV/atom: -1.130
Spin magnetization in μB per formula unit: 3.3
Fermi-level density of states in states/eV/f.u.: 5.2
Mass density in g cm⁻³: 7.603

=====

(18)
Entry from Alexandria: an optimized crystal structure of Ce2MnSnN5 (PBE).

Geometry as extended XYZ:
```
18
Lattice="1.685 -6.676 0.000 1.685 6.676 0.000 0.000 0.000 10.303" Properties=species:S:1:pos:R:3 pbc="T T T"
Ce 1.685 5.332 5.152
Ce 1.685 4.739 1.205
Ce 1.685 -4.739 6.356
Ce 1.685 -5.332 0.000
Mn 1.685 0.264 2.747
Mn 1.685 -0.264 7.899
Sn 1.685 3.900 8.523
Sn 1.685 -3.900 3.372
N 1.685 6.080 8.793
N 1.685 2.959 4.933
N 1.685 2.321 1.993
N 1.685 1.680 8.386
N 1.685 0.192 6.090
N 1.685 -0.192 0.938
N 1.685 -1.680 3.234
N 1.685 -2.321 7.145
N 1.685 -2.959 10.085
N 1.685 -6.080 3.642
```

Summary:
E_form (uncorrected) in eV/atom: -0.647
Spin magnetization in μB per formula unit: 3.9
Fermi-level density of states in states/eV/f.u.: 5.1
Mass density in g cm⁻³: 7.506